Record 1
Compound: Na5Tl4Cd
Source: Alexandria
Functional: PBE
Structure: optimized geometry

Computed properties:
calculated volume	27.791	Å³ per atom
crystal system	tetragonal
DOS at the Fermi energy	4.97	states/eV/f.u.
E_form	-0.085	eV/atom

a b c (Å): 3.7589 3.7589 19.6687
angles (deg): 90.00 90.00 90.00
With the nearest neighbours (Å) after each atom.
Space group P4/mmm (No. 123)
Symmetry-distinct sites (fractional):
Na 0.0000 0.0000 0.0000 (multiplicity 1)  8 Tl 3.32
Na 0.0000 0.0000 0.2017 (multiplicity 2)  8 Tl 3.31-3.34
Na 0.0000 0.0000 0.4039 (multiplicity 2)  4 Cd 3.26, 4 Tl 3.30
Tl 0.5000 0.5000 0.1012 (multiplicity 2)  8 Na 3.31-3.32
Tl 0.5000 0.5000 0.3044 (multiplicity 2)  8 Na 3.30-3.34
Cd 0.5000 0.5000 0.5000 (multiplicity 1)  8 Na 3.26

***

Record 2
Compound: TlCdBO4
Source: Alexandria
Functional: PBE
Structure: optimized geometry

Computed properties:
calculated volume	11.844	Å³ per atom
crystal system	orthorhombic
DOS at the Fermi energy	0.47	states/eV/f.u.
energy	-156.4	eV for the cell shown

a b c (Å): 5.6809 9.1370 6.3891
angles (deg): 90.00 90.00 90.00
With the nearest neighbours (Å) after each atom.
Space group Cmcm (No. 63)
Symmetry-distinct sites (fractional):
Tl 0.0000 0.1698 0.2500 (multiplicity 4)  4 O 2.15-2.31
Cd 0.0000 0.5000 0.0000 (multiplicity 4)  6 O 2.32-2.35
B 0.0000 0.1458 0.7500 (multiplicity 4)  4 O 1.49-1.51
O 0.0000 0.2477 0.5680 (multiplicity 8)  1 B 1.49
O 0.2126 0.0460 0.7500 (multiplicity 8)  1 B 1.51

***

Record 3
Compound: Ac4PrPb2
Source: Alexandria
Functional: PBE
Structure: optimized geometry

Computed properties:
calculated volume	44.172	Å³ per atom
crystal system	tetragonal
DOS at the Fermi energy	8.05	states/eV/f.u.
E_form	0.287	eV/atom

a b c (Å): 5.9677 5.9677 17.3645
angles (deg): 90.00 90.00 90.00
With the nearest neighbours (Å) after each atom.
Space group I4/mmm (No. 139)
Symmetry-distinct sites (fractional):
Ac 0.0000 0.0000 0.1821 (multiplicity 4)  1 Pr 3.16, 1 Pb 3.30
Ac 0.0000 0.5000 0.0000 (multiplicity 4)  2 Pr 2.98
Pr 0.0000 0.0000 0.0000 (multiplicity 2)  6 Ac 2.98-3.16
Pb 0.0000 0.0000 0.3719 (multiplicity 4)  1 Ac 3.30

***

Record 4
Compound: La2BeCu3Ge4
Source: Alexandria
Functional: PBE
Structure: optimized geometry

Computed properties:
calculated volume	18.088	Å³ per atom
crystal system	tetragonal
DOS at the Fermi energy	2.58	states/eV/f.u.
E_form	-0.513	eV/atom

a b c (Å): 4.2341 4.2341 10.0898
angles (deg): 90.00 90.00 90.00
With the nearest neighbours (Å) after each atom.
Space group P-4m2 (No. 115)
Symmetry-distinct sites (fractional):
La 0.0000 0.5000 0.2430 (multiplicity 2)  8 Ge 3.22-3.35, 2 Be 3.24, 6 Cu 3.24-3.25
Be 0.5000 0.5000 0.0000 (multiplicity 1)  4 Ge 2.47
Cu 0.0000 0.0000 0.0000 (multiplicity 1)  4 Ge 2.47
Cu 0.0000 0.5000 0.6310 (multiplicity 2)  5 Ge 2.45-2.50
Ge 0.0000 0.0000 0.5000 (multiplicity 1)  4 Cu 2.50
Ge 0.0000 0.5000 0.8738 (multiplicity 2)  3 Cu 2.45-2.47, 2 Be 2.47
Ge 0.5000 0.5000 0.5000 (multiplicity 1)  4 Cu 2.50

***

Record 5
Compound: Pr4AsCl5
Source: Alexandria
Functional: PBE
Structure: optimized geometry

Computed properties:
calculated volume	29.944	Å³ per atom
crystal system	orthorhombic
DOS at the Fermi energy	3.47	states/eV/f.u.
distance to the lowest polymorph of the same formula	192	meV per atom

a b c (Å): 9.0106 9.8181 6.7697
angles (deg): 90.00 90.00 90.00
With the nearest neighbours (Å) after each atom.
Space group Pmmn (No. 59, origin choice 2)
Symmetry-distinct sites (fractional):
Pr 0.0406 0.2500 0.0252 (multiplicity 4)  3 Cl 2.87, 1 As 2.92
Pr 0.2500 0.0135 0.6189 (multiplicity 4)  1 As 2.82, 5 Cl 2.85-3.11
As 0.2500 0.7500 0.7831 (multiplicity 2)  4 Pr 2.82-2.92
Cl 0.0498 0.5469 0.2545 (multiplicity 8)  3 Pr 2.85-3.11
Cl 0.2500 0.2500 0.3447 (multiplicity 2)  4 Pr 2.87-2.97

***

Record 6
Compound: ZnCd2Cl
Source: Alexandria
Functional: PBE
Structure: optimized geometry

Computed properties:
calculated volume	23.519	Å³ per atom
crystal system	orthorhombic
DOS at the Fermi energy	0.62	states/eV/f.u.
distance to the lowest polymorph of the same formula	90	meV per atom

a b c (Å): 3.6142 5.9984 8.6788
angles (deg): 90.00 90.00 90.00
With the nearest neighbours (Å) after each atom.
Space group Cmm2 (No. 35)
Symmetry-distinct sites (fractional):
Zn 0.0000 0.0000 0.0000 (multiplicity 2)  2 Cl 2.50, 2 Cd 2.74
Cd 0.0000 0.0000 0.5056 (multiplicity 2)  2 Cd 2.95, 2 Cl 3.14
Cd 0.0000 0.5000 0.2370 (multiplicity 2)  2 Zn 2.74, 2 Cd 2.95
Cl 0.0000 0.5000 0.8013 (multiplicity 2)  2 Zn 2.50

***

Record 7
Compound: ScMoRh2
Source: Alexandria
Functional: PBE
Structure: optimized geometry

Computed properties:
calculated volume	15.971	Å³ per atom
crystal system	monoclinic
DOS at the Fermi energy	3.68	states/eV/f.u.
E_form	-0.351	eV/atom

a b c (Å): 9.4730 2.8810 4.7522
angles (deg): 90.00 99.88 90.00
With the nearest neighbours (Å) after each atom.
Space group Cm (No. 8)
Symmetry-distinct sites (fractional):
Sc 0.0000 0.0000 0.0000 (multiplicity 2)  7 Rh 2.64-2.79, 2 Sc 2.88, 1 Mo 2.90
Mo 0.2761 0.5000 0.3475 (multiplicity 2)  7 Rh 2.69-2.80, 2 Mo 2.88, 1 Sc 2.90
Rh 0.0165 0.5000 0.5039 (multiplicity 2)  3 Mo 2.69, 4 Sc 2.78-2.79, 4 Rh 2.88-2.89
Rh 0.2525 0.0000 0.8361 (multiplicity 2)  3 Sc 2.64-2.75, 4 Mo 2.77-2.80, 4 Rh 2.88-2.89

***

Record 8
Compound: Rb2PuBr2O2
Source: Alexandria
Functional: PBE
Structure: optimized geometry

Computed properties:
calculated volume	25.799	Å³ per atom
crystal system	tetragonal
DOS at the Fermi energy	6.19	states/eV/f.u.
energy	-88.2	eV for the cell shown

a b c (Å): 4.4605 4.4605 18.1535
angles (deg): 90.00 90.00 90.00
With the nearest neighbours (Å) after each atom.
Space group I4/mmm (No. 139)
Symmetry-distinct sites (fractional):
Rb 0.0000 0.0000 0.1242 (multiplicity 4)  4 O 3.17, 4 Br 3.24
Pu 0.0000 0.0000 0.5000 (multiplicity 2)  4 O 2.23
Br 0.0000 0.0000 0.3343 (multiplicity 4)  1 Pu 3.01, 4 Rb 3.24
O 0.0000 0.5000 0.0000 (multiplicity 4)  2 Pu 2.23

***

Record 9
Compound: NaLiAu
Source: Alexandria
Functional: PBE
Structure: optimized geometry

Computed properties:
calculated volume	22.130	Å³ per atom
crystal system	monoclinic
DOS at the Fermi energy	0.63	states/eV/f.u.
distance to the lowest polymorph of the same formula	47	meV per atom
E_form	-0.318	eV/atom

a b c (Å): 7.8053 4.5911 7.9055
angles (deg): 90.00 110.38 90.00
With the nearest neighbours (Å) after each atom.
Space group C2/m (No. 12)
Symmetry-distinct sites (fractional):
Na 0.2121 0.0000 0.1225 (multiplicity 4)  4 Au 2.98-3.25, 3 Na 3.19-3.20
Li 0.1423 0.5000 0.4129 (multiplicity 4)  3 Au 2.72-2.73, 3 Li 2.89-2.99
Au 0.0543 0.0000 0.6838 (multiplicity 4)  3 Li 2.72-2.73, 1 Au 2.73, 3 Na 2.98-3.00

***

Record 10
Compound: Nd3Ge2Pt5
Source: Alexandria
Functional: PBE
Structure: optimized geometry

Computed properties:
calculated volume	21.522	Å³ per atom
crystal system	orthorhombic
DOS at the Fermi energy	6.88	states/eV/f.u.
E_form	-0.696	eV/atom

a b c (Å): 12.0688 12.0690 5.9103
angles (deg): 90.00 90.00 90.00
With the nearest neighbours (Å) after each atom.
Space group Ibam (No. 72)
Symmetry-distinct sites (fractional):
Nd 0.0000 0.0000 0.2500 (multiplicity 4)  4 Ge 2.91, 2 Nd 2.96, 2 Pt 2.97
Nd 0.2022 0.3904 0.0000 (multiplicity 8)  7 Pt 3.04-3.34, 1 Ge 3.06
Ge 0.1509 0.1424 0.0000 (multiplicity 8)  3 Pt 2.39-2.66
Pt 0.0000 0.2464 0.2500 (multiplicity 8)  2 Ge 2.66, 4 Pt 2.74-2.96, 1 Nd 2.97
Pt 0.0000 0.5000 0.2500 (multiplicity 4)  8 Pt 2.87-3.06, 4 Nd 3.14
Pt 0.1510 0.3633 0.5000 (multiplicity 8)  1 Ge 2.39

***

Record 11
Compound: ErTm5
Source: Alexandria
Functional: PBE
Structure: optimized geometry

Computed properties:
calculated volume	29.911	Å³ per atom
crystal system	orthorhombic
DOS at the Fermi energy	7.80	states/eV/f.u.
distance to the lowest polymorph of the same formula	31	meV per atom
E_form	0.026	eV/atom

a b c (Å): 4.9293 14.8075 4.9176
angles (deg): 90.00 90.00 90.00
With the nearest neighbours (Å) after each atom.
Space group Cmmm (No. 65)
Symmetry-distinct sites (fractional):
Er 0.0000 0.0000 0.0000 (multiplicity 2)  12 Tm 3.48-3.49
Tm 0.0000 0.1668 0.5000 (multiplicity 4)  10 Tm 3.48-3.49, 2 Er 3.49
Tm 0.0000 0.3332 0.0000 (multiplicity 4)  10 Tm 3.48-3.49, 2 Er 3.49
Tm 0.0000 0.5000 0.5000 (multiplicity 2)  4 Er 3.48, 8 Tm 3.49

***

Record 12
Compound: Sc8Al2Sn
Source: Alexandria
Functional: PBE
Structure: optimized geometry

Computed properties:
calculated volume	23.315	Å³ per atom
crystal system	monoclinic
DOS at the Fermi energy	13.85	states/eV/f.u.
distance to the lowest polymorph of the same formula	113	meV per atom
E_form	-0.194	eV/atom

a b c (Å): 8.1601 13.3183 5.0956
angles (deg): 90.00 112.14 90.00
With the nearest neighbours (Å) after each atom.
Space group C2/m (No. 12)
Symmetry-distinct sites (fractional):
Sc 0.0000 0.2222 0.0000 (multiplicity 4)  2 Al 2.78, 1 Sn 2.96
Sc 0.0982 0.5000 0.7957 (multiplicity 4)  2 Sc 2.83-3.07, 2 Al 2.95, 1 Sn 3.04
Sc 0.2100 0.1195 0.6247 (multiplicity 8)  2 Al 2.85-2.95, 2 Sc 3.17-3.18
Al 0.0000 0.3058 0.5000 (multiplicity 4)  8 Sc 2.78-2.95
Sn 0.0000 0.0000 0.0000 (multiplicity 2)  4 Sc 2.96-3.04